# KW2Br (PBE, optimized geometry)
data_KW2Br
_space_group_name_H-M_alt 'C m m 2'
_space_group_IT_number 35
_cell_length_a 3.393
_cell_length_b 5.338
_cell_length_c 9.848
_cell_angle_alpha 90.00
_cell_angle_beta 90.00
_cell_angle_gamma 90.00
loop_
_space_group_symop_operation_xyz
'x,y,z'
'-x,-y,z'
'-x,y,z'
'x,-y,z'
'x+1/2,y+1/2,z'
'-x+1/2,-y+1/2,z'
'-x+1/2,y+1/2,z'
'x+1/2,-y+1/2,z'
loop_
_atom_site_label
_atom_site_type_symbol
_atom_site_fract_x
_atom_site_fract_y
_atom_site_fract_z
_atom_site_occupancy
K1 K 0.000 0.000 0.000 1
W1 W 0.000 0.000 0.500 1
W2 W 0.000 0.500 0.317 1
Br1 Br 0.000 0.500 0.744 1
# ΔE to the lowest computed polymorph in meV/atom: 237
# Formation energy from raw total energies in eV/atom: 0.635
# Final energy in eV per atom: -6.534
# M_tot in μB/cell: 0.00



# AsPb5 (PBE, optimized geometry)
data_AsPb5
_space_group_name_H-M_alt 'P -6 2 m'
_space_group_IT_number 189
_space_group_name_Hall 'P -6 -2'
_cell_length_a 5.9391
_cell_length_b 5.9391
_cell_length_c 5.7961
_cell_angle_alpha 90.00
_cell_angle_beta 90.00
_cell_angle_gamma 120.00
loop_
_atom_site_label
_atom_site_type_symbol
_atom_site_fract_x
_atom_site_fract_y
_atom_site_fract_z
_atom_site_occupancy
As1 As 0.0000 0.0000 0.0000 1
Pb1 Pb 0.0000 0.6756 0.5000 1
Pb2 Pb 0.3333 0.6667 0.0000 1
# E_form in eV/atom: 0.105
# ΔE to the lowest computed polymorph in meV/atom: 48
# Final energy in eV per atom: -3.760
# M_tot in μB/cell: 0.00



# PmSi3TcNi (PBE, optimized geometry)
data_PmSi3TcNi
_space_group_name_H-M_alt 'C m c m'
_space_group_IT_number 63
_space_group_name_Hall '-C 2c 2'
_cell_length_a 6.181
_cell_length_b 12.719
_cell_length_c 5.657
_cell_angle_alpha 90.00
_cell_angle_beta 90.00
_cell_angle_gamma 90.00
loop_
_atom_site_label
_atom_site_type_symbol
_atom_site_fract_x
_atom_site_fract_y
_atom_site_fract_z
_atom_site_occupancy
Pm1 Pm 0.000 0.225 0.250 1
Si1 Si 0.000 0.278 0.750 1
Si2 Si 0.196 0.000 0.000 1
Tc1 Tc 0.000 0.454 0.750 1
Ni1 Ni 0.000 0.110 0.750 1
# Formation energy from raw total energies in eV/atom: -0.385
# Final energy in eV per atom: -6.580
# M_tot in μB/cell: 0.00



# BaBeOsO5 (PBE, optimized geometry)
data_BaBeOsO5
_space_group_name_H-M_alt 'C 1 2/c 1'
_space_group_IT_number 15
_cell_length_a 6.780
_cell_length_b 9.065
_cell_length_c 7.307
_cell_angle_alpha 90.00
_cell_angle_beta 113.20
_cell_angle_gamma 90.00
loop_
_space_group_symop_operation_xyz
'x,y,z'
'-x,-y,-z'
'-x,y,-z+1/2'
'x,-y,z+1/2'
'x+1/2,y+1/2,z'
'-x+1/2,-y+1/2,-z'
'-x+1/2,y+1/2,-z+1/2'
'x+1/2,-y+1/2,z+1/2'
loop_
_atom_site_label
_atom_site_type_symbol
_atom_site_fract_x
_atom_site_fract_y
_atom_site_fract_z
_atom_site_occupancy
Ba1 Ba 0.000 0.161 0.250 1
Be1 Be 0.000 0.196 0.750 1
Os1 Os 0.000 0.500 0.000 1
O1 O 0.000 0.452 0.250 1
O2 O 0.084 0.300 0.606 1
O3 O 0.204 0.078 0.901 1
# Formation energy from raw total energies in eV/atom: -1.825
# Final energy in eV per atom: -7.034
# M_tot in μB/cell: 1.85



# Ta2CrMoH (PBE, optimized geometry)
data_Ta2CrMoH
_space_group_name_H-M_alt 'P 4/m m m'
_space_group_IT_number 123
_space_group_name_Hall '-P 4 2'
_cell_length_a 4.467
_cell_length_b 4.467
_cell_length_c 3.370
_cell_angle_alpha 90.00
_cell_angle_beta 90.00
_cell_angle_gamma 90.00
loop_
_atom_site_label
_atom_site_type_symbol
_atom_site_fract_x
_atom_site_fract_y
_atom_site_fract_z
_atom_site_occupancy
Ta1 Ta 0.000 0.500 0.000 1
Cr1 Cr 0.000 0.000 0.500 1
Mo1 Mo 0.500 0.500 0.500 1
H1 H 0.500 0.500 0.000 1
# ΔE to the lowest computed polymorph in meV/atom: 138
# Final energy in eV per atom: -9.461
# M_tot in μB/cell: 0.00



# V5Ir4Rh (PBE, optimized geometry)
data_V5Ir4Rh
_space_group_name_H-M_alt 'P 4/m m m'
_space_group_IT_number 123
_space_group_name_Hall '-P 4 2'
_cell_length_a 2.753
_cell_length_b 2.753
_cell_length_c 18.322
_cell_angle_alpha 90.00
_cell_angle_beta 90.00
_cell_angle_gamma 90.00
loop_
_atom_site_label
_atom_site_type_symbol
_atom_site_fract_x
_atom_site_fract_y
_atom_site_fract_z
_atom_site_occupancy
V1 V 0.000 0.000 0.000 1
V2 V 0.000 0.000 0.200 1
V3 V 0.000 0.000 0.400 1
Ir1 Ir 0.500 0.500 0.100 1
Ir2 Ir 0.500 0.500 0.301 1
Rh1 Rh 0.500 0.500 0.500 1
# E_form in eV/atom: -0.475
# Final energy in eV per atom: -9.314
# M_tot in μB/cell: 0.00



# Tm3Tl4 (PBE, optimized geometry)
data_Tm3Tl4
_space_group_name_H-M_alt 'I -4 3 d'
_space_group_IT_number 220
_space_group_name_Hall 'I -4bd 2c 3'
_cell_length_a 9.189
_cell_length_b 9.189
_cell_length_c 9.189
_cell_angle_alpha 90.00
_cell_angle_beta 90.00
_cell_angle_gamma 90.00
loop_
_atom_site_label
_atom_site_type_symbol
_atom_site_fract_x
_atom_site_fract_y
_atom_site_fract_z
_atom_site_occupancy
Tm1 Tm 0.000 0.250 0.375 1
Tl1 Tl 0.082 0.082 0.082 1
# E_form in eV/atom: -0.178
# ΔE to the lowest computed polymorph in meV/atom: 81
# Final energy in eV per atom: -3.446
# M_tot in μB/cell: 0.00



# Tb2PmTcO8 (PBE, optimized geometry)
data_Tb2PmTcO8
_space_group_name_H-M_alt 'C m m m'
_space_group_IT_number 65
_space_group_name_Hall '-C 2 2'
_cell_length_a 7.199
_cell_length_b 7.199
_cell_length_c 6.846
_cell_angle_alpha 90.00
_cell_angle_beta 90.00
_cell_angle_gamma 90.00
loop_
_atom_site_label
_atom_site_type_symbol
_atom_site_fract_x
_atom_site_fract_y
_atom_site_fract_z
_atom_site_occupancy
Tb1 Tb 0.000 0.000 0.250 1
Pm1 Pm 0.000 0.500 0.000 1
Tc1 Tc 0.000 0.500 0.500 1
O1 O 0.000 0.187 0.000 1
O2 O 0.000 0.236 0.500 1
O3 O 0.183 0.500 0.297 1
# Formation energy from raw total energies in eV/atom: -2.598
# Final energy in eV per atom: -7.935
# M_tot in μB/cell: 0.00